DFT (GGA-PBEsol) results for a geometry-optimized LiFePb2 structure.

Summary:
* formation enthalpy at 0 K: 254.9 meV/atom
* SG: C2/m, No. 12

a b c (Å): 3.2956 4.6201 5.9564
angles (deg): 101.25 90.00 110.90
Each line ends with the local moment (μB).
Sites, in units of the cell vectors:
Pb (0.7403, 0.4807, 0.7290)  -0.04
Pb (0.2597, 0.5193, 0.2710)  -0.04
Li (0.5000, 0.0000, 0.0000)  0.00
Fe (0.0000, 0.0000, 0.5000)  2.51

DFT (GGA-PBEsol) results for a geometry-optimized LiFePb3 structure.

Summary:
* formation enthalpy at 0 K: 765.3 meV/atom
* SG: Pm-3m, No. 221
* offset from the most stable computed form: 521 meV/atom

a b c (Å): 5.0141 5.0141 5.0141
angles (deg): 90.00 90.00 90.00
Each line ends with the local moment (μB).
Sites, in units of the cell vectors:
Pb (0.5000, 0.0000, 0.0000)  -0.01
Pb (0.0000, 0.0000, 0.5000)  -0.01
Pb (0.0000, 0.5000, 0.0000)  -0.01
Li (0.0000, 0.0000, 0.0000)  0.01
Fe (0.5000, 0.5000, 0.5000)  3.21

DFT (GGA-PBEsol) results for a geometry-optimized LiFe2PdPb structure.

Summary:
* formation enthalpy at 0 K: 736.5 meV/atom
* SG: P4/mmm, No. 123

a b c (Å): 4.1830 4.1830 4.2902
angles (deg): 90.00 90.00 90.00
Each line ends with the local moment (μB).
Sites, in units of the cell vectors:
Fe (0.5000, 0.0000, 0.0000)  2.71
Fe (0.0000, 0.5000, 0.0000)  2.71
Pb (0.5000, 0.5000, 0.5000)  -0.04
Pd (0.0000, 0.0000, 0.5000)  0.06
Li (0.0000, 0.0000, 0.0000)  -0.06

DFT (GGA-PBEsol) results for a geometry-optimized LiFe2PbS structure.

Summary:
* E_form (uncorrected): 0.30 eV per atom
* SG: P4/mmm, No. 123

a b c (Å): 4.1522 4.1522 5.6068
angles (deg): 90.00 90.00 90.00
Each line ends with the local moment (μB).
Sites, in units of the cell vectors:
Fe (0.5000, 0.0000, 0.0000)  2.31
Fe (0.0000, 0.5000, 0.0000)  2.31
Pb (0.0000, 0.0000, 0.5000)  -0.02
S (0.0000, 0.0000, 0.0000)  0.01
Li (0.5000, 0.5000, 0.5000)  -0.01

Ordered size of the total moment results: 2.40 3.33 5.36 4.44; unit μB per formula unit.
Ordered V results: 82.9 126.1 75.1 96.7; unit Å³/f.u..